The following is a DFT calculation (PBE) of an optimized crystal structure of Ta2ZnSb.

abc: 3.5024 3.5024 5.9506
angles: 90.00 90.00 90.00
With the nearest neighbours (Å) after each atom.
Sites, in units of the cell vectors:
1 Sb 0.5000 0.5000 0.7500  8 Ta 2.94, 2 Zn 2.98
2 Ta 0.0000 0.0000 0.4847  1 Ta 2.79, 4 Zn 2.84, 4 Sb 2.94
3 Zn 0.5000 0.5000 0.2500  8 Ta 2.84, 2 Sb 2.98
4 Ta 0.0000 0.0000 0.0153  1 Ta 2.79, 4 Zn 2.84, 4 Sb 2.94

Properties
- Distance to the lowest polymorph of the same formula: 0.2008 eV per atom

The following is a DFT calculation (PBE) of an optimized crystal structure of TaZn2Sb.

abc: 6.3651 5.1428 3.0213
angles: 89.83 61.98 118.74
With the nearest neighbours (Å) after each atom.
Sites, in units of the cell vectors:
1 Zn 0.5000 0.0000 0.5000  4 Zn 2.81-3.02, 4 Sb 2.98-2.99, 4 Ta 2.98-2.99
2 Ta 0.5000 0.5000 0.0000  2 Sb 2.81, 8 Zn 2.98-2.99, 2 Ta 3.02
3 Sb 0.0000 0.5000 0.5000  2 Ta 2.81, 8 Zn 2.98-2.99, 2 Sb 3.02
4 Zn 0.0000 0.0000 0.0000  4 Zn 2.81-3.02, 4 Ta 2.98-2.99, 4 Sb 2.98-2.99

Properties
- DFT total energy: -17.608 eV per cell

The following is a DFT calculation (PBE) of an optimized crystal structure of Ta2ZnSb.

abc: 4.6843 4.6843 4.6843
angles: 60.00 60.00 60.00
With the nearest neighbours (Å) after each atom.
Sites, in units of the cell vectors:
1 Sb 0.5000 0.5000 0.5000  8 Ta 2.87
2 Zn 0.0000 0.0000 0.0000  8 Ta 2.87
3 Ta 0.7500 0.7500 0.7500  4 Sb 2.87, 4 Zn 2.87
4 Ta 0.2500 0.2500 0.2500  4 Sb 2.87, 4 Zn 2.87

Properties
- Distance to the lowest polymorph of the same formula: 0.3065 eV per atom

The following is a DFT calculation (PBE) of an optimized crystal structure of Ta2ZnSb.

abc: 5.6605 5.3397 2.9815
angles: 80.00 78.51 118.32
With the nearest neighbours (Å) after each atom.
Sites, in units of the cell vectors:
1 Ta 0.0000 0.0000 0.0000  2 Sb 2.82, 2 Zn 2.82, 4 Ta 2.92-2.98
2 Zn 0.0000 0.5000 0.5000  4 Ta 2.82, 2 Sb 2.92, 2 Zn 2.98
3 Sb 0.5000 0.5000 0.0000  4 Ta 2.82, 2 Zn 2.92, 2 Sb 2.98
4 Ta 0.5000 0.0000 0.5000  2 Zn 2.82, 2 Sb 2.82, 4 Ta 2.92-2.98

Properties
- Distance to the lowest polymorph of the same formula: 0.1745 eV per atom

Repeat the third record exactly.
The following is a DFT calculation (PBE) of an optimized crystal structure of Ta2ZnSb.

abc: 4.6843 4.6843 4.6843
angles: 60.00 60.00 60.00
With the nearest neighbours (Å) after each atom.
Sites, in units of the cell vectors:
1 Sb 0.5000 0.5000 0.5000  8 Ta 2.87
2 Zn 0.0000 0.0000 0.0000  8 Ta 2.87
3 Ta 0.7500 0.7500 0.7500  4 Sb 2.87, 4 Zn 2.87
4 Ta 0.2500 0.2500 0.2500  4 Sb 2.87, 4 Zn 2.87

Properties
- Distance to the lowest polymorph of the same formula: 0.3065 eV per atom